# PBE with a Hubbard U CaAc2NiO5, relaxed
# V	141.14	Å³/f.u.
# ρ	7.44	Mg/m³
# raw total energy	-119.9	eV/cell
data_CaAc2NiO5
_symmetry_space_group_name_H-M 'P 4/m b m'
_symmetry_Int_Tables_number 127
_symmetry_space_group_name_Hall '-P 4 2ab'
_cell_length_a 6.9979
_cell_length_b 6.9979
_cell_length_c 5.7644
_cell_angle_alpha 90.00
_cell_angle_beta 90.00
_cell_angle_gamma 90.00
loop_
_atom_site_label
_atom_site_type_symbol
_atom_site_fract_x
_atom_site_fract_y
_atom_site_fract_z
Ca1 Ca 0.0000 0.0000 0.0000
Ac1 Ac 0.1742 0.3258 0.5000
Ni1 Ni 0.0000 0.5000 0.0000
O1 O 0.0000 0.0000 0.5000
O2 O 0.1375 0.6375 0.2267